Entry 1:
The following is a DFT calculation (PBE) of an optimized crystal structure of SiNiRh2. Values from VASP.

Values from the calculation:
formation energy (no corrections): -0.29 eV per atom
SG: Pmm2 (25)
uncorrected energy: -6.7663 eV per atom

```
&SYSTEM
  ibrav = 0, nat = 4, ntyp = 3
/
ATOMIC_SPECIES
Rh 102.91 Rh.upf
Ni 58.69 Ni.upf
Si 28.09 Si.upf
ATOMIC_POSITIONS angstrom
Rh 0.0000 0.0000 5.0534
Rh 1.3793 1.7995 1.4477
Ni 1.3793 1.7995 3.9676
Si 0.0000 0.0000 2.6132
CELL_PARAMETERS angstrom
2.7587 0.0000 0.0000
0.0000 3.5990 0.0000
0.0000 0.0000 5.2327
```

***

Entry 2:
The following is a DFT calculation (PBE) of an optimized crystal structure of Mg2CuCl. Values from VASP.

Values from the calculation:
formation energy (no corrections): -0.26 eV per atom
SG: Immm (71)
uncorrected energy: -2.5407 eV per atom
energy relative to the lowest polymorph listed for this composition: 0.271 eV per atom

```
&SYSTEM
  ibrav = 0, nat = 4, ntyp = 3
/
ATOMIC_SPECIES
Cl 35.45 Cl.upf
Mg 24.30 Mg.upf
Cu 63.55 Cu.upf
ATOMIC_POSITIONS angstrom
Cl 1.1368 1.9347 1.4303
Mg 3.2350 2.5989 0.0000
Mg 0.0361 0.0290 0.0000
Cu 3.2859 -0.7403 1.4670
CELL_PARAMETERS angstrom
5.4201 -0.0471 0.0366
1.1220 5.3029 -0.0366
-2.1194 -4.0614 2.8973
```

***

Entry 3:
The following is a DFT calculation (PBE) of an optimized crystal structure of NpNi12P6. Values from VASP.

Values from the calculation:
SG: R-3m (166)
uncorrected energy: -6.4834 eV per atom
energy of formation from the pure elements: -0.4425 eV/atom

```
&SYSTEM
  ibrav = 0, nat = 19, ntyp = 3
/
ATOMIC_SPECIES
P 30.97 P.upf
Ni 58.69 Ni.upf
Np 237.00 Np.upf
ATOMIC_POSITIONS angstrom
P -0.3046 3.2589 4.5894
P 3.2327 4.1640 1.9967
P 0.1012 3.7816 1.4582
P 3.6385 1.0354 1.4582
P 3.2327 0.5127 4.5894
P 0.1012 0.1303 4.0509
Ni 3.5816 2.3575 3.3200
Ni 1.3961 1.7983 4.9219
Ni 1.9378 0.2401 2.7276
Ni -0.2477 1.9368 2.7276
Ni 1.6669 -0.9260 5.2060
Ni 1.6669 5.2203 0.8416
Ni 4.6442 -0.1642 3.0238
Ni -1.3103 4.4585 3.0238
Ni -1.3103 1.3854 5.2060
Ni 4.6442 2.9090 0.8416
Ni 1.3961 4.0542 3.3200
Ni 1.9378 2.4961 1.1257
Np 0.0000 0.0000 0.0000
CELL_PARAMETERS angstrom
6.4308 0.0471 0.0664
-1.5484 6.2417 0.0664
-1.5484 -1.9945 5.9149
```

***

Entry 4:
The following is a DFT calculation (PBE) of an optimized crystal structure of NaLiCdHg. Values from VASP.

Values from the calculation:
SG: F-43m (216)
uncorrected energy: -1.3038 eV per atom
energy relative to the lowest polymorph listed for this composition: 0.039 eV per atom
energy of formation from the pure elements: -0.1914 eV/atom

```
&SYSTEM
  ibrav = 0, nat = 4, ntyp = 4
/
ATOMIC_SPECIES
Hg 200.59 Hg.upf
Cd 112.41 Cd.upf
Na 22.99 Na.upf
Li 6.94 Li.upf
ATOMIC_POSITIONS angstrom
Hg 4.9615 2.8645 2.0255
Cd 7.4422 4.2967 3.0383
Na 0.0000 0.0000 0.0000
Li 2.4807 1.4322 1.0128
CELL_PARAMETERS angstrom
4.9615 0.0000 0.0000
2.4807 4.2967 0.0000
2.4807 1.4322 4.0510
```

***

Entry 5:
The following is a DFT calculation (PBE) of an optimized crystal structure of Zn2BOs. Values from VASP.

Values from the calculation:
SG: I-42d (122)
uncorrected energy: -4.4492 eV per atom
energy of formation from the pure elements: 0.6646 eV/atom

```
&SYSTEM
  ibrav = 0, nat = 8, ntyp = 3
/
ATOMIC_SPECIES
Os 190.23 Os.upf
Zn 65.41 Zn.upf
B 10.81 B.upf
ATOMIC_POSITIONS angstrom
Os -5.0342 -0.3359 -3.5407
Os 0.0000 0.0000 0.0000
Zn -7.4204 -2.3144 -5.3289
Zn -2.3862 -1.9753 -1.7783
Zn -7.4390 -1.5947 -3.1461
Zn -2.5551 0.2012 -2.4974
B -4.8661 -2.5058 -2.8347
B 0.0178 -0.7067 -2.1761
CELL_PARAMETERS angstrom
-0.1504 1.4632 -2.8822
0.1859 -2.8766 -1.4701
-9.9358 -1.4283 -2.0231
```

***

Entry 6:
The following is a DFT calculation (PBE) of an optimized crystal structure of Ca3CdBr8. Values from VASP.

Values from the calculation:
formation energy (no corrections): -1.74 eV per atom
SG: C2/m (12)
uncorrected energy: -3.4312 eV per atom

```
&SYSTEM
  ibrav = 0, nat = 12, ntyp = 3
/
ATOMIC_SPECIES
Br 79.90 Br.upf
Ca 40.08 Ca.upf
Cd 112.41 Cd.upf
ATOMIC_POSITIONS angstrom
Br -5.1860 -4.3765 -0.8463
Br -4.5591 -1.6399 2.3178
Br -0.0761 -2.1697 1.8400
Br 1.5513 -6.1970 2.0141
Br -7.4909 -3.1149 -4.3095
Br -6.8135 -0.3492 -1.0203
Br 2.2287 -3.4313 5.3033
Br -0.7030 -4.9063 -1.3240
Ca 2.2417 -1.2285 3.3684
Ca 1.5831 -3.9173 0.1707
Ca -0.6586 -2.6888 -3.1977
Cd 0.0000 0.0000 0.0000
CELL_PARAMETERS angstrom
-1.3171 -5.3776 -6.3955
4.4834 -2.4570 6.7368
-8.4285 1.2884 0.6525
```

***

Entry 7:
The following is a DFT calculation (PBE) of an optimized crystal structure of Ce2Ag2Au15. Values from VASP.

Values from the calculation:
SG: R-3m (166)
uncorrected energy: -3.7421 eV per atom
energy of formation from the pure elements: -0.2299 eV/atom

```
&SYSTEM
  ibrav = 0, nat = 19, ntyp = 3
/
ATOMIC_SPECIES
Au 196.97 Au.upf
Ag 107.87 Ag.upf
Ce 140.12 Ce.upf
ATOMIC_POSITIONS angstrom
Au 4.3038 -6.1302 0.3225
Au 1.2211 -3.5703 -4.5232
Au 0.0226 -3.2674 1.6919
Au -0.3521 -5.8507 0.5855
Au 1.4200 -6.6266 -4.2541
Au 5.4243 -5.4899 -2.1124
Au 3.6642 -5.0289 -4.1821
Au 4.4575 -2.6516 -2.7922
Au 3.4726 -0.9727 -0.7309
Au -0.6332 -2.1382 -2.9268
Au 4.8549 -3.3358 0.0061
Au 0.2995 -7.2669 -1.8192
Au 2.1354 -5.1446 1.9159
Au 2.0596 -7.7279 0.2505
Au -0.8691 -4.9606 -3.0553
Ag 0.5628 -1.2544 -0.3866
Ag 5.1610 -11.5024 -3.5450
Ce 3.7614 -8.3831 -2.5836
Ce 1.9624 -4.3737 -1.3480
CELL_PARAMETERS angstrom
0.0452 -6.5348 3.3838
-1.2665 -4.2764 -5.8536
6.9451 -1.9455 -1.4618
```

***

Entry 8:
The following is a DFT calculation (PBE) of an optimized crystal structure of Rb2MnSe. Values from VASP.

Values from the calculation:
formation energy (no corrections): 0.31 eV per atom
SG: I-42d (122)
uncorrected energy: -3.3378 eV per atom

```
&SYSTEM
  ibrav = 0, nat = 8, ntyp = 3
/
ATOMIC_SPECIES
Rb 85.47 Rb.upf
Se 78.96 Se.upf
Mn 54.94 Mn.upf
ATOMIC_POSITIONS angstrom
Rb -1.1068 -9.4685 3.6536
Rb -4.6071 -10.9765 5.6771
Rb -1.1356 -3.3382 4.1605
Rb -2.8868 -4.3783 0.3562
Se -1.5152 -6.5109 5.1847
Se 0.0000 0.0000 0.0000
Mn -3.1767 -1.3523 2.1098
Mn -3.3529 -7.5699 1.7390
CELL_PARAMETERS angstrom
-1.3390 -0.2933 5.5554
-5.0143 -2.4112 -1.3359
1.4852 -11.3762 2.7042
```